No. 1
Below is crystalline K3Pu3RuS8 at its relaxed geometry, with properties calculated at the PBE level.

Output
**Mass density**: 5.0 g/cm3
**Electronic total energy**: -7.175 eV/atom
**Uncorrected formation energy**: -1269 meV per atom
**SG**: C2/m, No. 12
**Volume**: 398.4 Å³/f.u.

Cell lengths 7.8050, 7.8050, 8.7794 Å; angles 116.23, 116.23, 60.03 degrees
Closest atoms and distances in Å follow each position.
Fractional positions:
K (0.0000, 0.0000, 0.0000)  6 S 3.16-3.21
K (0.0000, 0.5000, 0.0000)  6 S 3.16-3.22
K (0.5000, 0.0000, 0.0000)  6 S 3.16-3.22
Pu (0.0000, 0.5000, 0.5000)  6 S 2.73-2.74
Pu (0.5000, 0.0000, 0.5000)  6 S 2.73-2.74
Pu (0.5000, 0.5000, 0.5000)  6 S 2.74-2.75
Ru (0.0000, 0.0000, 0.5000)  6 S 2.49-2.51
S (0.2154, 0.2154, 0.6851)  1 Ru 2.51, 2 Pu 2.73
S (0.2148, 0.7563, 0.6854)  1 Ru 2.49, 2 Pu 2.74
S (0.2437, 0.7852, 0.3146)  1 Ru 2.49, 2 Pu 2.74
S (0.2641, 0.2641, 0.2940)  3 Pu 2.73-2.75
S (0.7359, 0.7359, 0.7060)  3 Pu 2.73-2.75
S (0.7563, 0.2148, 0.6854)  1 Ru 2.49, 2 Pu 2.74
S (0.7852, 0.2437, 0.3146)  1 Ru 2.49, 2 Pu 2.74
S (0.7846, 0.7846, 0.3149)  1 Ru 2.51, 2 Pu 2.73

No. 2
Below is crystalline KPuS at its relaxed geometry, with properties calculated at the PBE level.

Output
**Mass density**: 6.0 g/cm3
**Electronic total energy**: -7.176 eV/atom
**Uncorrected formation energy**: -657 meV per atom
**SG**: C2/m, No. 12
**Volume**: 87.1 Å³/f.u.

Cell lengths 6.2530, 6.2530, 8.7446 Å; angles 101.00, 101.00, 31.31 degrees
Closest atoms and distances in Å follow each position.
Fractional positions:
K (0.0958, 0.0958, 0.3648)  5 S 3.19-3.30, 2 K 3.37
K (0.9042, 0.9042, 0.6352)  5 S 3.19-3.30, 2 K 3.37
Pu (0.2154, 0.2154, 0.9142)  2 Pu 2.30
Pu (0.7846, 0.7846, 0.0858)  2 Pu 2.30
S (0.3613, 0.3613, 0.3191)  2 Pu 2.67
S (0.6387, 0.6387, 0.6809)  2 Pu 2.67

No. 3
Below is crystalline K3Pu4S8 at its relaxed geometry, with properties calculated at the PBE level.

Output
**Mass density**: 5.5 g/cm3
**Electronic total energy**: -7.627 eV/atom
**Uncorrected formation energy**: -1384 meV per atom
**SG**: C2/m, No. 12
**Volume**: 411.1 Å³/f.u.

Cell lengths 8.3258, 8.3258, 8.2022 Å; angles 119.11, 119.11, 90.47 degrees
Closest atoms and distances in Å follow each position.
Fractional positions:
K (0.0000, 0.0000, 0.0000)  6 S 3.14-3.21
K (0.0000, 0.5000, 0.0000)  6 S 2.94-2.99
K (0.5000, 0.0000, 0.0000)  6 S 2.94-2.99
Pu (0.0000, 0.5000, 0.5000)  6 S 2.94-2.98
Pu (0.5000, 0.0000, 0.5000)  6 S 2.94-2.98
Pu (0.5000, 0.5000, 0.0000)  6 S 2.69-2.79
Pu (0.5000, 0.5000, 0.5000)  6 S 2.63-2.81
S (0.2692, 0.7308, 0.0000)  3 Pu 2.73-2.98, 2 K 2.94
S (0.2709, 0.7291, 0.5000)  3 Pu 2.71-2.94, 2 K 2.98
S (0.2747, 0.2747, 0.5289)  4 Pu 2.79-2.96
S (0.3002, 0.3002, 0.0578)  2 Pu 2.63-2.69
S (0.6998, 0.6998, 0.9422)  2 Pu 2.63-2.69
S (0.7253, 0.7253, 0.4711)  4 Pu 2.79-2.96
S (0.7291, 0.2709, 0.5000)  3 Pu 2.71-2.94, 2 K 2.98
S (0.7308, 0.2692, 0.0000)  3 Pu 2.73-2.98, 2 K 2.94

No. 4
Below is crystalline KPu4S8 at its relaxed geometry, with properties calculated at the PBE level.

Output
**Mass density**: 4.9 g/cm3
**Electronic total energy**: -8.525 eV/atom
**Uncorrected formation energy**: -1491 meV per atom
**SG**: C2/m, No. 12
**Volume**: 433.0 Å³/f.u.

Cell lengths 8.0257, 8.0257, 10.3697 Å; angles 125.06, 125.06, 60.04 degrees
Closest atoms and distances in Å follow each position.
Fractional positions:
K (0.0000, 0.0000, 0.0000)  6 S 3.36-3.39
Pu (0.2519, 0.7481, 0.5000)  6 S 2.69-2.71
Pu (0.2604, 0.2604, 0.5196)  6 S 2.67-2.70
Pu (0.7396, 0.7396, 0.4804)  6 S 2.67-2.70
Pu (0.7481, 0.2519, 0.5000)  6 S 2.69-2.71
S (0.0040, 0.0040, 0.3307)  3 Pu 2.70
S (0.0059, 0.4831, 0.3223)  3 Pu 2.69-2.71
S (0.4831, 0.0059, 0.3223)  3 Pu 2.69-2.71
S (0.4896, 0.4896, 0.3175)  3 Pu 2.67-2.69
S (0.5104, 0.5104, 0.6825)  3 Pu 2.67-2.69
S (0.5169, 0.9941, 0.6777)  3 Pu 2.69-2.71
S (0.9941, 0.5169, 0.6777)  3 Pu 2.69-2.71
S (0.9960, 0.9960, 0.6693)  3 Pu 2.70

No. 5
Below is crystalline KPuS3 at its relaxed geometry, with properties calculated at the PBE level.

Output
**Mass density**: 4.6 g/cm3
**Electronic total energy**: -6.777 eV/atom
**Uncorrected formation energy**: -1214 meV per atom
**SG**: Pm-3m, No. 221
**Volume**: 138.3 Å³/f.u.

Cell lengths 5.1711, 5.1711, 5.1711 Å; angles 90.00, 90.00, 90.00 degrees
Closest atoms and distances in Å follow each position.
Fractional positions:
K (0.0000, 0.0000, 0.0000)  12 S 3.66
Pu (0.5000, 0.5000, 0.5000)  6 S 2.59
S (0.0000, 0.5000, 0.5000)  2 Pu 2.59
S (0.5000, 0.0000, 0.5000)  2 Pu 2.59
S (0.5000, 0.5000, 0.0000)  2 Pu 2.59

No. 6
Below is crystalline KPu6S8 at its relaxed geometry, with properties calculated at the PBE level.

Output
**Mass density**: 8.3 g/cm3
**Electronic total energy**: -9.559 eV/atom
**Uncorrected formation energy**: -1552 meV per atom
**SG**: R-3, No. 148
**Volume**: 350.0 Å³/f.u.

Cell lengths 7.4760, 7.4760, 7.4760 Å; angles 68.77, 68.77, 68.77 degrees
Closest atoms and distances in Å follow each position.
Fractional positions:
K (0.0000, 0.0000, 0.0000)  6 S 2.92
Pu (0.0621, 0.7069, 0.4663)  7 S 2.75-3.07
Pu (0.2931, 0.5337, 0.9379)  7 S 2.75-3.07
Pu (0.4663, 0.0621, 0.7069)  7 S 2.75-3.07
Pu (0.5337, 0.9379, 0.2931)  7 S 2.75-3.07
Pu (0.7069, 0.4663, 0.0621)  7 S 2.75-3.07
Pu (0.9379, 0.2931, 0.5337)  7 S 2.75-3.07
S (0.1068, 0.3771, 0.7970)  5 Pu 2.75-3.02, 1 K 2.92
S (0.2030, 0.8932, 0.6229)  5 Pu 2.75-3.02, 1 K 2.92
S (0.3313, 0.3313, 0.3313)  6 Pu 2.85-3.07
S (0.3771, 0.7970, 0.1068)  5 Pu 2.75-3.02, 1 K 2.92
S (0.6229, 0.2030, 0.8932)  5 Pu 2.75-3.02, 1 K 2.92
S (0.6687, 0.6687, 0.6687)  6 Pu 2.85-3.07
S (0.7970, 0.1068, 0.3771)  5 Pu 2.75-3.02, 1 K 2.92
S (0.8932, 0.6229, 0.2030)  5 Pu 2.75-3.02, 1 K 2.92